Density functional theory data (GGA-PBE) for Dy8C3N2 after structural relaxation.

Cell: 6.293 7.107 7.107 Å, 60.28 73.47 73.47°
Each line ends with the local moment (μB).
Positions (direct):
Dy  0.760  0.118  0.118  0.09
C  0.000  0.254  0.746  0.00
Dy  0.233  0.364  0.888  0.09
Dy  0.767  0.112  0.636  0.09
C  0.000  0.746  0.254  0.00
N  0.990  0.751  0.751  -0.01
Dy  0.218  0.377  0.377  0.12
N  0.010  0.249  0.249  -0.01
Dy  0.782  0.623  0.623  0.12
Dy  0.767  0.636  0.112  0.09
Dy  0.240  0.882  0.882  0.09
Dy  0.233  0.888  0.364  0.09
C  0.500  0.000  0.000  0.00

Results
Space-group type: C2/m, No. 12
Calculated density, Mg/m³: 8.7
Total energy, eV per atom: -6.92

---

Density functional theory data (GGA-PBE) for Na2LiTiOs after structural relaxation.

Cell: 4.063 5.232 4.063 Å, 90.00 90.00 90.00°
Each line ends with the local moment (μB).
Positions (direct):
Li  0.000  0.000  0.000  0.05
Na  0.500  0.000  0.000  0.00
Na  0.000  0.000  0.500  0.00
Ti  0.000  0.500  0.000  0.47
Os  0.500  0.500  0.500  -0.20

Results
Energy of formation, eV/atom: 1.2392
Space-group type: P4/mmm, No. 123
Calculated density, Mg/m³: 5.6
Total energy, eV per atom: -3.50